1.
VASP calculation (PBE-GGA) on a relaxed structure of CePm2DyTm.

Computed properties:
D(E_F) in states/eV/atom: 2.19
Total moment in μB/f.u.: 0.44
Energy of formation from the pure elements in meV per atom: 285
E_tot in eV per formula unit: -23.08

Cell lengths 6.102, 6.667, 8.146 Å; angles 90.00, 90.00, 90.00 degrees
Space group Pmma (No. 51)
Asymmetric unit:
Ce 0.000 0.000 0.000
Pm 0.250 0.264 0.310
Dy 0.250 0.000 0.647
Tm 0.250 0.500 0.876

=====

2.
VASP calculation (PBE-GGA) on a relaxed structure of Ce2Pm3Dy6Tm.

Computed properties:
D(E_F) in states/eV/atom: 1.72
Total moment in μB/f.u.: 1.91
Energy of formation from the pure elements in meV per atom: 44
E_tot in eV per formula unit: -57.67

Cell lengths 6.167, 10.679, 11.770 Å; angles 90.00, 100.04, 90.00 degrees
Space group C2/m (No. 12)
Asymmetric unit:
Ce 0.000 0.166 0.000
Pm 0.000 0.000 0.500
Pm 0.000 0.334 0.500
Dy 0.247 0.000 0.246
Dy 0.250 0.168 0.754
Tm 0.000 0.500 0.000

=====

3.
VASP calculation (PBE-GGA) on a relaxed structure of CePm6Dy3Tm2.

Computed properties:
D(E_F) in states/eV/atom: 1.58
Total moment in μB/f.u.: 1.37
Energy of formation from the pure elements in meV per atom: 38
E_tot in eV per formula unit: -56.74

Cell lengths 6.225, 10.782, 11.852 Å; angles 90.00, 100.09, 90.00 degrees
Space group C2/m (No. 12)
Asymmetric unit:
Ce 0.000 0.000 0.000
Pm 0.249 0.000 0.751
Pm 0.249 0.166 0.249
Dy 0.000 0.167 0.500
Dy 0.000 0.500 0.500
Tm 0.000 0.333 0.000

=====

4.
VASP calculation (PBE-GGA) on a relaxed structure of Ce2PmDy6Tm3.

Computed properties:
D(E_F) in states/eV/atom: 1.89
Total moment in μB/f.u.: 1.84
Energy of formation from the pure elements in meV per atom: 52
E_tot in eV per formula unit: -57.02

Cell lengths 6.116, 10.595, 11.712 Å; angles 90.00, 100.03, 90.00 degrees
Space group C2/m (No. 12)
Asymmetric unit:
Ce 0.000 0.167 0.000
Pm 0.000 0.500 0.000
Dy 0.247 0.168 0.748
Dy 0.249 0.000 0.252
Tm 0.000 0.000 0.500
Tm 0.000 0.334 0.500

=====

5.
VASP calculation (PBE-GGA) on a relaxed structure of CePm6DyTm2.

Computed properties:
D(E_F) in states/eV/atom: 1.83
Total moment in μB/f.u.: 0.87
Energy of formation from the pure elements in meV per atom: 148
E_tot in eV per formula unit: -46.51

Cell lengths 9.289, 15.019, 9.628 Å; angles 90.00, 98.05, 90.00 degrees
Space group C2/c (No. 15)
Asymmetric unit:
Ce 0.000 0.091 0.250
Pm 0.065 0.323 0.444
Pm 0.095 0.106 0.618
Pm 0.215 0.278 0.814
Dy 0.000 0.469 0.750
Tm 0.243 0.452 0.050

=====

6.
VASP calculation (PBE-GGA) on a relaxed structure of CePmDyTm.

Computed properties:
D(E_F) in states/eV/atom: 2.59
Total moment in μB/f.u.: 3.13
Energy of formation from the pure elements in meV per atom: 194
E_tot in eV per formula unit: -18.98

Cell lengths 8.030, 8.030, 8.030 Å; angles 90.00, 90.00, 90.00 degrees
Space group F-43m (No. 216)
Asymmetric unit:
Ce 0.000 0.000 0.000
Pm 0.250 0.250 0.750
Dy 0.250 0.250 0.250
Tm 0.000 0.000 0.500

=====

7.
VASP calculation (PBE-GGA) on a relaxed structure of CePm3Dy2Y6.

Computed properties:
D(E_F) in states/eV/atom: 1.59
Total moment in μB/f.u.: 1.17
Energy of formation from the pure elements in meV per atom: 34
E_tot in eV per formula unit: -67.77

Cell lengths 6.221, 10.771, 11.846 Å; angles 90.00, 100.06, 90.00 degrees
Space group C2/m (No. 12)
Asymmetric unit:
Ce 0.000 0.000 0.000
Pm 0.000 0.168 0.500
Pm 0.000 0.500 0.500
Dy 0.000 0.333 0.000
Y 0.248 0.166 0.247
Y 0.249 0.000 0.753

=====

8.
VASP calculation (PBE-GGA) on a relaxed structure of Ce2PmDy3Y6.

Computed properties:
D(E_F) in states/eV/atom: 1.90
Total moment in μB/f.u.: 1.87
Energy of formation from the pure elements in meV per atom: 52
E_tot in eV per formula unit: -68.58

Cell lengths 6.175, 10.694, 11.793 Å; angles 90.00, 100.05, 90.00 degrees
Space group C2/m (No. 12)
Asymmetric unit:
Ce 0.000 0.167 0.000
Pm 0.000 0.500 0.000
Dy 0.000 0.000 0.500
Dy 0.000 0.334 0.500
Y 0.248 0.000 0.250
Y 0.248 0.168 0.750

=====

9.
VASP calculation (PBE-GGA) on a relaxed structure of CePm3Dy6Y2.

Computed properties:
D(E_F) in states/eV/atom: 1.57
Total moment in μB/f.u.: 1.16
Energy of formation from the pure elements in meV per atom: 35
E_tot in eV per formula unit: -60.30

Cell lengths 6.199, 10.734, 11.831 Å; angles 90.00, 100.04, 90.00 degrees
Space group C2/m (No. 12)
Asymmetric unit:
Ce 0.000 0.000 0.000
Pm 0.000 0.167 0.500
Pm 0.000 0.500 0.500
Dy 0.248 0.000 0.752
Dy 0.248 0.165 0.248
Y 0.000 0.333 0.000

=====

10.
VASP calculation (PBE-GGA) on a relaxed structure of CePmDyY2.

Computed properties:
D(E_F) in states/eV/atom: 2.38
Total moment in μB/f.u.: 0.00
Energy of formation from the pure elements in meV per atom: 299
E_tot in eV per formula unit: -26.72

Cell lengths 5.841, 7.519, 7.479 Å; angles 90.00, 90.00, 90.00 degrees
Space group Pmma (No. 51)
Asymmetric unit:
Ce 0.000 0.000 0.000
Pm 0.250 0.500 0.155
Dy 0.250 0.000 0.373
Y 0.250 0.285 0.672

=====

11.
VASP calculation (PBE-GGA) on a relaxed structure of CePmDyY.

Computed properties:
D(E_F) in states/eV/atom: 2.57
Total moment in μB/f.u.: 0.94
Energy of formation from the pure elements in meV per atom: 169
E_tot in eV per formula unit: -21.07

Cell lengths 8.061, 8.061, 8.061 Å; angles 90.00, 90.00, 90.00 degrees
Space group F-43m (No. 216)
Asymmetric unit:
Ce 0.000 0.000 0.000
Pm 0.000 0.000 0.500
Dy 0.250 0.250 0.750
Y 0.250 0.250 0.250

=====

12.
VASP calculation (PBE-GGA) on a relaxed structure of CePm6Dy3Y2.

Computed properties:
D(E_F) in states/eV/atom: 1.64
Total moment in μB/f.u.: 1.36
Energy of formation from the pure elements in meV per atom: 37
E_tot in eV per formula unit: -60.73

Cell lengths 6.252, 10.830, 11.907 Å; angles 90.00, 100.09, 90.00 degrees
Space group C2/m (No. 12)
Asymmetric unit:
Ce 0.000 0.000 0.000
Pm 0.248 0.000 0.749
Pm 0.249 0.165 0.251
Dy 0.000 0.167 0.500
Dy 0.000 0.500 0.500
Y 0.000 0.334 0.000